Entry 1:
{
  "formula": "SiSbS2N",
  "functional": "PBE",
  "state": "relaxed",
  "lattice": [[-0.354, 4.232, 2.366], [-1.292, -1.611, 2.689], [4.481, -0.620, 1.781]],
  "species": ["S", "S", "N", "Sb", "Si"],
  "frac_coords": [[0.500, 0.000, 0.000], [0.000, 0.000, 0.500], [0.000, 0.500, 0.000], [0.500, 0.500, 0.500], [0.000, 0.000, 0.000]],
  "dft_energy_ev_per_fu": -25.35,
  "spacegroup": "P4/mmm (123)",
  "magnetic_moment_mub_per_fu": 0.00,
  "de_polymorph_mev_per_atom": 0,
  "density_g_cm3": 4.724
}


Entry 2:
{
  "formula": "AlPO2",
  "functional": "PBE",
  "state": "relaxed",
  "lattice": [[-3.712, 2.981, 1.392], [-2.452, -1.107, -4.167], [-4.942, -2.292, 0.565]],
  "species": ["Al", "Al", "O", "O", "O", "O", "P", "P"],
  "frac_coords": [[0.250, 0.750, 0.500], [0.500, 0.500, 0.000], [0.375, 0.487, 0.750], [0.237, 0.625, 0.250], [0.513, 0.125, 0.250], [0.875, 0.763, 0.750], [0.000, 0.000, 0.000], [0.750, 0.250, 0.500]],
  "dft_energy_ev_per_fu": -24.08,
  "spacegroup": "I-42d (122)",
  "magnetic_moment_mub_per_fu": 0.00,
  "de_polymorph_mev_per_atom": 620,
  "density_g_cm3": 2.886
}


Entry 3:
{
  "formula": "Y2TaMo",
  "functional": "PBE",
  "state": "relaxed",
  "lattice": [[10.482, 0.011, 0.007], [9.999, 3.145, 0.007], [9.999, 1.541, 2.742]],
  "species": ["Ta", "Y", "Y", "Mo"],
  "frac_coords": [[0.750, 0.750, 0.750], [0.503, 0.503, 0.503], [0.997, 0.997, 0.997], [0.250, 0.250, 0.250]],
  "ef_kj_per_mol_atoms": 62.4,
  "dft_energy_ev_per_fu": -33.03,
  "spacegroup": "R-3m (166)",
  "magnetic_moment_mub_per_fu": 0.00,
  "de_polymorph_mev_per_atom": 510,
  "density_g_cm3": 8.403
}


Entry 4:
{
  "formula": "RuSe2Cl2",
  "functional": "PBE",
  "state": "relaxed",
  "lattice": [[-0.055, 0.579, -3.491], [0.478, -3.458, -0.581], [-10.589, -2.920, -2.113]],
  "species": ["Cl", "Cl", "Ru", "Se", "Se"],
  "frac_coords": [[0.430, 0.430, 0.140], [0.570, 0.570, 0.860], [0.000, 0.000, 0.000], [0.250, 0.750, 0.500], [0.750, 0.250, 0.500]],
  "dft_energy_ev_per_fu": -18.04,
  "spacegroup": "I4/mmm (139)",
  "magnetic_moment_mub_per_fu": 3.78,
  "de_polymorph_mev_per_atom": 121,
  "density_g_cm3": 4.013
}


Entry 5:
{
  "formula": "BeHg",
  "functional": "PBE",
  "state": "relaxed",
  "lattice": [[-2.777, -3.294, -1.514], [1.654, -3.357, -2.616], [0.356, -4.234, 1.673]],
  "species": ["Hg", "Hg", "Be", "Be"],
  "frac_coords": [[0.500, 0.500, 0.500], [0.750, 0.750, 0.750], [0.000, 0.000, 0.000], [0.250, 0.250, 0.250]],
  "ef_kj_per_mol_atoms": 78.7,
  "dft_energy_ev_per_fu": -2.40,
  "spacegroup": "Fd-3m (227)",
  "magnetic_moment_mub_per_fu": 0.00,
  "de_polymorph_mev_per_atom": 521,
  "density_g_cm3": 10.338
}


Entry 6:
{
  "formula": "Ge2Mo2Os",
  "functional": "PBE",
  "state": "relaxed",
  "lattice": [[-6.735, -0.603, -0.314], [-0.149, -1.733, 6.542], [-0.327, 3.208, 0.843]],
  "species": ["Ge", "Ge", "Ge", "Ge", "Mo", "Mo", "Mo", "Mo", "Os", "Os"],
  "frac_coords": [[0.856, 0.644, 0.000], [0.356, 0.856, 0.000], [0.644, 0.144, 0.000], [0.144, 0.356, 0.000], [0.155, 0.655, 0.500], [0.845, 0.345, 0.500], [0.655, 0.845, 0.500], [0.345, 0.155, 0.500], [0.000, 0.000, 0.000], [0.500, 0.500, 0.000]],
  "ef_kj_per_mol_atoms": 24.9,
  "dft_energy_ev_per_fu": -40.83,
  "spacegroup": "P4/mbm (127)",
  "magnetic_moment_mub_per_fu": 0.00,
  "density_g_cm3": 11.470
}


Entry 7:
{
  "formula": "MoPbCl",
  "functional": "PBE",
  "state": "relaxed",
  "lattice": [[-1.577, -2.970, -6.955], [2.555, -1.540, -7.126], [0.216, 0.298, 7.717]],
  "species": ["Pb", "Cl", "Mo"],
  "frac_coords": [[0.700, 0.700, 0.000], [0.948, 0.948, 0.000], [0.352, 0.352, 0.000]],
  "dft_energy_ev_per_fu": -15.56,
  "spacegroup": "I4mm (107)",
  "magnetic_moment_mub_per_fu": 0.90,
  "de_polymorph_mev_per_atom": 210,
  "density_g_cm3": 7.927
}


Entry 8:
{
  "formula": "SmErMgBe",
  "functional": "PBE",
  "state": "relaxed",
  "lattice": [[5.114, 0.000, 0.000], [2.557, 4.429, 0.000], [2.557, 1.476, 4.176]],
  "species": ["Er", "Be", "Mg", "Sm"],
  "frac_coords": [[0.750, 0.750, 0.750], [0.000, 0.000, 0.000], [0.500, 0.500, 0.500], [0.250, 0.250, 0.250]],
  "ef_kj_per_mol_atoms": 9.5,
  "dft_energy_ev_per_fu": -14.21,
  "spacegroup": "F-43m (216)",
  "magnetic_moment_mub_per_fu": 0.00,
  "density_g_cm3": 6.162
}


Entry 9:
{
  "formula": "DyLuCuHg",
  "functional": "PBE",
  "state": "relaxed",
  "lattice": [[5.055, 0.000, 0.000], [2.527, 4.377, 0.000], [2.527, 1.459, 4.127]],
  "species": ["Lu", "Hg", "Cu", "Dy"],
  "frac_coords": [[0.500, 0.500, 0.500], [0.750, 0.750, 0.750], [0.250, 0.250, 0.250], [0.000, 0.000, 0.000]],
  "ef_kj_per_mol_atoms": -32.8,
  "dft_energy_ev_per_fu": -14.88,
  "spacegroup": "F-43m (216)",
  "magnetic_moment_mub_per_fu": 0.00,
  "density_g_cm3": 10.940
}